No. 1
# PBE-GGA LaTcBi, relaxed
# Offset from the most stable computed form (eV per formula unit): 0.00
# Crystal system: cubic
# ρ (g/cm3): 9.3
# Calculated total energy (eV per formula unit): -19.2
data_LaTcBi
_chemical_formula_sum 'La4 Tc4 Bi4'
_space_group_name_H-M_alt 'F -4 3 m'
_space_group_IT_number 216
_space_group_name_Hall 'F -4 2 3'
_cell_length_a 6.839
_cell_length_b 6.839
_cell_length_c 6.839
_cell_angle_alpha 90.00
_cell_angle_beta 90.00
_cell_angle_gamma 90.00
loop_
_atom_site_label
_atom_site_type_symbol
_atom_site_fract_x
_atom_site_fract_y
_atom_site_fract_z
La1 La 0.000 0.000 0.000
Tc1 Tc 0.250 0.250 0.750
Bi1 Bi 0.000 0.000 0.500

=====

No. 2
# PBE-GGA La3ThBi4, relaxed
# Crystal system: orthorhombic
# ρ (g/cm3): 8.6
# Calculated total energy (eV per formula unit): -46.1
data_La3ThBi4
_chemical_formula_sum 'La6 Th2 Bi8'
_space_group_name_H-M_alt 'C m m m'
_space_group_IT_number 65
_space_group_name_Hall '-C 2 2'
_cell_length_a 9.337
_cell_length_b 13.191
_cell_length_c 4.664
_cell_angle_alpha 90.00
_cell_angle_beta 90.00
_cell_angle_gamma 90.00
loop_
_atom_site_label
_atom_site_type_symbol
_atom_site_fract_x
_atom_site_fract_y
_atom_site_fract_z
La1 La 0.000 0.000 0.000
La2 La 0.250 0.250 0.500
Th1 Th 0.000 0.500 0.000
Bi1 Bi 0.000 0.253 0.000
Bi2 Bi 0.246 0.500 0.500

=====

No. 3
# PBE-GGA LaThBi2, relaxed
# Crystal system: trigonal
# ρ (g/cm3): 9.3
# Calculated total energy (eV per formula unit): -23.8
data_LaThBi2
_chemical_formula_sum 'La3 Th3 Bi6'
_space_group_name_H-M_alt 'R -3 m'
_space_group_IT_number 166
_space_group_name_Hall '-R 3 2"'
_cell_length_a 4.6334
_cell_length_b 4.6334
_cell_length_c 22.7942
_cell_angle_alpha 90.00
_cell_angle_beta 90.00
_cell_angle_gamma 120.00
loop_
_atom_site_label
_atom_site_type_symbol
_atom_site_fract_x
_atom_site_fract_y
_atom_site_fract_z
La1 La 0.0000 0.0000 0.0000
Th1 Th 0.0000 0.0000 0.5000
Bi1 Bi 0.0000 0.0000 0.2482

=====

No. 4
# PBE-GGA La2TmBi3, relaxed
# Crystal system: trigonal
# ρ (g/cm3): 8.7
# Calculated total energy (eV per formula unit): -32.3
data_La2TmBi3
_chemical_formula_sum 'La2 Tm1 Bi3'
_space_group_name_H-M_alt 'P -3 m 1'
_space_group_IT_number 164
_space_group_name_Hall '-P 3 2"'
_cell_length_a 4.5868
_cell_length_b 4.5868
_cell_length_c 11.2560
_cell_angle_alpha 90.00
_cell_angle_beta 90.00
_cell_angle_gamma 120.00
loop_
_atom_site_label
_atom_site_type_symbol
_atom_site_fract_x
_atom_site_fract_y
_atom_site_fract_z
La1 La 0.3333 0.6667 0.3262
Tm1 Tm 0.0000 0.0000 0.0000
Bi1 Bi 0.0000 0.0000 0.5000
Bi2 Bi 0.3333 0.6667 0.8471